GGA-PBE CaHfBe2, relaxed; VASP energy = -4.483 eV/atom
1.0
0.0000 3.2854 3.2854
3.2854 0.0000 3.2854
3.2854 3.2854 0.0000
Be Ca Hf
2 1 1
Direct
0.2500 0.2500 0.2500
0.7500 0.7500 0.7500
0.0000 0.0000 0.0000
0.5000 0.5000 0.5000

=====

GGA-PBE OsPtPb2, relaxed; VASP energy = -5.346 eV/atom
1.0
-0.9146 -4.5546 -1.5189
1.1798 -3.8040 2.8329
-3.5151 -2.6321 2.1457
Os Pb Pt
1 2 1
Direct
0.5000 0.5000 0.5000
0.0000 0.0000 0.0000
0.2500 0.2500 0.2500
0.7500 0.7500 0.7500

=====

GGA-PBE Th4Tl3Te, relaxed; formation energy without anion corrections = -8.18 kcal/mol of atoms; VASP energy = -5.345 eV/atom
1.0
-0.8280 -3.5427 0.2319
3.5439 -0.8105 0.2715
-1.0263 1.3885 17.5447
Tl Te Th
3 1 4
Direct
0.5000 0.5000 0.2431
0.5000 0.5000 0.5000
0.5000 0.5000 0.7569
0.5000 0.5000 0.0000
0.0000 0.0000 0.8835
0.0000 0.0000 0.1165
0.0000 0.0000 0.3712
0.0000 0.0000 0.6288

=====

GGA-PBE MnOs3, relaxed; VASP energy = -10.665 eV/atom
1.0
-3.8904 -2.3419 2.9298
-2.6864 -4.2501 -1.9806
5.8437 -5.3259 3.5025
Mn Os
4 12
Direct
0.0000 0.0000 0.0000
0.0000 0.0000 0.5000
0.6667 0.6667 0.2500
0.3333 0.3333 0.7500
0.5000 0.5000 0.0000
0.5000 0.5000 0.5000
0.8368 0.3263 0.7500
0.3263 0.8368 0.7500
0.1632 0.1632 0.2500
0.5000 0.0000 0.0000
0.5000 0.0000 0.5000
0.0000 0.5000 0.0000
0.0000 0.5000 0.5000
0.8368 0.8368 0.7500
0.6737 0.1632 0.2500
0.1632 0.6737 0.2500

=====

GGA-PBE Rb2UNiSe4, relaxed; formation energy without anion corrections = -17.37 kcal/mol of atoms; VASP energy = -4.871 eV/atom
1.0
-3.9303 -5.2528 2.3823
6.6325 -0.4961 2.1160
-2.1060 6.1901 2.4417
Rb U Ni Se
2 1 1 4
Direct
0.5000 0.7500 0.2500
0.0000 0.0000 0.0000
0.5000 0.2500 0.7500
0.0000 0.5000 0.5000
0.6005 0.3392 0.4321
0.0929 0.2613 0.6608
0.9071 0.5679 0.1684
0.3995 0.8316 0.7387

=====

GGA-PBE Pr4Sm2DySc, relaxed; VASP energy = -4.907 eV/atom
1.0
-4.2498 2.9152 0.1439
-1.4489 -2.3264 4.3400
3.4996 4.6217 9.7234
Pr Sm Dy Sc
4 2 1 1
Direct
0.0000 0.7556 0.7449
0.0000 0.2444 0.2551
0.5000 0.7456 0.2543
0.5000 0.2544 0.7457
0.0000 0.0000 0.0000
0.5000 0.0000 0.5000
0.5000 0.5000 0.0000
0.0000 0.5000 0.5000

=====

Question: What is the formula in the third record?
Answer: Th4Tl3Te

=====

Question: Which of these has the highest VASP energy?
Answer: CaHfBe2

=====

Question: Which of these has the highest VASP energy?
Answer: CaHfBe2

=====

Question: Look up the VASP energy of the third one.
Answer: -5.345 eV/atom